An optimized crystal structure of NiPt5Rh, computed with PBE.

Cell lengths 5.4208, 7.6713, 5.4603 Å; angles 90.00, 90.00, 90.00 degrees
With the nearest neighbours (Å) after each atom.
Positions (direct):
Ni: 0.0000 0.0000 0.0000  10 Pt 2.71-2.73
Ni: 0.5000 0.5000 0.0000  10 Pt 2.71-2.73
Pt: 0.0000 0.5000 0.0000  2 Ni 2.71, 2 Rh 2.73, 8 Pt 2.73
Pt: 0.2500 0.2500 0.2552  6 Pt 2.67-2.79, 2 Rh 2.70, 2 Ni 2.73
Pt: 0.2500 0.2500 0.7448  6 Pt 2.67-2.79, 2 Rh 2.70, 2 Ni 2.73
Pt: 0.2500 0.7500 0.2552  6 Pt 2.67-2.79, 2 Rh 2.70, 2 Ni 2.73
Pt: 0.2500 0.7500 0.7448  6 Pt 2.67-2.79, 2 Rh 2.70, 2 Ni 2.73
Pt: 0.5000 0.0000 0.0000  2 Ni 2.71, 2 Rh 2.73, 8 Pt 2.73
Pt: 0.7500 0.2500 0.2552  6 Pt 2.67-2.79, 2 Rh 2.70, 2 Ni 2.73
Pt: 0.7500 0.2500 0.7448  6 Pt 2.67-2.79, 2 Rh 2.70, 2 Ni 2.73
Pt: 0.7500 0.7500 0.2552  6 Pt 2.67-2.79, 2 Rh 2.70, 2 Ni 2.73
Pt: 0.7500 0.7500 0.7448  6 Pt 2.67-2.79, 2 Rh 2.70, 2 Ni 2.73
Rh: 0.0000 0.5000 0.5000  10 Pt 2.70-2.73
Rh: 0.5000 0.0000 0.5000  10 Pt 2.70-2.73

Results
- density of states at the Fermi level (states/eV/f.u.) = 7.79
- ΔE_f (eV per atom) = 0.056